Li4Ho3ThTe8 PBE optimized geometry; space-group type = R-3m; E = -4.6023 eV per atom; mass density = 6.4 g cm⁻³; raw formation energy = -1231 meV/atom
1.0
-0.7779 7.3707 4.4618
-7.8377 -2.4967 2.7579
6.8546 -5.1220 1.2695
Li Ho Th Te
4 3 1 8
Cartesian
-0.3889 3.6854 2.2309
3.0383 1.1244 2.8657
0.0000 0.0000 0.0000
3.4273 -2.5610 0.6348
-4.3078 2.4370 3.6099
-0.8805 -0.1240 4.2446
-0.4916 -3.8093 2.0137
-3.9189 -1.2483 1.3789
-6.1296 -0.0310 3.2459
-2.6452 -2.6346 3.8910
1.2896 -1.3256 2.4146
-6.5121 3.5929 5.4396
4.7510 -3.8408 3.0497
-3.0506 1.0776 6.0747
0.8842 2.3867 4.5982
4.3686 -0.2170 5.2434